[1]
Computed, not measured: crystalline TaSnNO2 at its relaxed geometry at the PBE level of DFT.

The total energy comes out at -0.49146 Ry/atom. The calculation puts the size of the total moment at 1.97 μB per formula unit. As for the space group: P4/mmm. The uncorrected formation energy comes out at 0.133 eV per atom.

Unit cell a=3.955 b=3.955 c=4.173 alpha=90.00 beta=90.00 gamma=90.00
Sites, in units of the cell vectors:
1 Ta 0.000 0.000 0.000
2 Sn 0.500 0.500 0.500
3 N 0.500 0.500 0.000
4 O 0.000 0.500 0.500
5 O 0.500 0.000 0.500

=====

[2]
Computed, not measured: crystalline TaSnN2O at its relaxed geometry at the PBE level of DFT.

The total energy comes out at -0.59619 Ry/atom. The calculation puts the size of the total moment at 0.00 μB per formula unit. As for the space group: P4/mmm. The uncorrected formation energy comes out at -0.619 eV per atom.

Unit cell a=4.140 b=4.140 c=3.988 alpha=90.00 beta=90.00 gamma=90.00
Sites, in units of the cell vectors:
1 Ta 0.000 0.000 0.000
2 Sn 0.500 0.500 0.500
3 N 0.000 0.500 0.000
4 N 0.500 0.000 0.000
5 O 0.000 0.000 0.500

=====

[3]
Computed, not measured: crystalline TcSnNO2 at its relaxed geometry at the PBE level of DFT.

The total energy comes out at -0.45458 Ry/atom. The calculation puts the size of the total moment at 4.00 μB per formula unit. As for the space group: P4/mmm. The uncorrected formation energy comes out at 0.337 eV per atom.

Unit cell a=3.996 b=3.996 c=4.219 alpha=90.00 beta=90.00 gamma=90.00
Sites, in units of the cell vectors:
1 Tc 0.000 0.000 0.000
2 Sn 0.500 0.500 0.500
3 N 0.500 0.500 0.000
4 O 0.000 0.500 0.500
5 O 0.500 0.000 0.500

=====

[4]
Computed, not measured: crystalline TcSnNO2 at its relaxed geometry at the PBE level of DFT.

The total energy comes out at -0.51950 Ry/atom. The calculation puts the size of the total moment at 0.49 μB per formula unit. As for the space group: P4/mmm. The uncorrected formation energy comes out at -0.546 eV per atom.

Unit cell a=3.995 b=3.995 c=3.926 alpha=90.00 beta=90.00 gamma=90.00
Sites, in units of the cell vectors:
1 Tc 0.000 0.000 0.000
2 Sn 0.500 0.500 0.500
3 N 0.000 0.000 0.500
4 O 0.000 0.500 0.000
5 O 0.500 0.000 0.000

=====

[5]
Computed, not measured: crystalline TcSnN2O at its relaxed geometry at the PBE level of DFT.

The total energy comes out at -0.52436 Ry/atom. The calculation puts the size of the total moment at 0.00 μB per formula unit. As for the space group: P4/mmm. The uncorrected formation energy comes out at 0.061 eV per atom.

Unit cell a=3.953 b=3.953 c=3.987 alpha=90.00 beta=90.00 gamma=90.00
Sites, in units of the cell vectors:
1 Tc 0.000 0.000 0.000
2 Sn 0.500 0.500 0.500
3 N 0.000 0.500 0.000
4 N 0.500 0.000 0.000
5 O 0.000 0.000 0.500

=====

[6]
Computed, not measured: crystalline TcSnN2O at its relaxed geometry at the PBE level of DFT.

The total energy comes out at -0.44425 Ry/atom. The calculation puts the size of the total moment at 3.02 μB per formula unit. As for the space group: P4/mmm. The uncorrected formation energy comes out at 1.151 eV per atom.

Unit cell a=4.154 b=4.154 c=3.966 alpha=90.00 beta=90.00 gamma=90.00
Sites, in units of the cell vectors:
1 Tc 0.000 0.000 0.000
2 Sn 0.500 0.500 0.500
3 N 0.000 0.500 0.500
4 N 0.500 0.000 0.500
5 O 0.500 0.500 0.000

=====

[7]
Computed, not measured: crystalline SnTe2NO at its relaxed geometry at the PBE level of DFT.

The total energy comes out at -0.24947 Ry/atom. The calculation puts the size of the total moment at 3.29 μB per formula unit. As for the space group: P4/mmm. The uncorrected formation energy comes out at 1.320 eV per atom.

Unit cell a=5.935 b=5.935 c=3.874 alpha=90.00 beta=90.00 gamma=90.00
Sites, in units of the cell vectors:
1 Sn 0.000 0.000 0.000
2 Te 0.000 0.500 0.000
3 Te 0.500 0.000 0.000
4 N 0.000 0.000 0.500
5 O 0.500 0.500 0.500

=====

[8]
Computed, not measured: crystalline SnTeNO2 at its relaxed geometry at the PBE level of DFT.

The total energy comes out at -0.38017 Ry/atom. The calculation puts the size of the total moment at 0.00 μB per formula unit. As for the space group: P4/mmm. The uncorrected formation energy comes out at -0.095 eV per atom.

Unit cell a=4.156 b=4.156 c=4.161 alpha=90.00 beta=90.00 gamma=90.00
Sites, in units of the cell vectors:
1 Sn 0.000 0.000 0.000
2 Te 0.500 0.500 0.500
3 N 0.500 0.500 0.000
4 O 0.000 0.500 0.500
5 O 0.500 0.000 0.500

=====

Q: The highest size of the total moment belongs to which entry?
A: number 3